Here is La4Ho5Tm4 after structural relaxation from the Alexandria database. Energies are from PBE-GGA.

Properties
E	-120.04	eV/cell
mass density	8.04	g/cm³

Unit cell a=12.932 b=12.932 c=5.076 alpha=90.00 beta=90.00 gamma=90.00
Space group I4/m (No. 87)
Asymmetric unit:
La (0.152, 0.771, 0.000) (multiplicity 8)
Ho (0.000, 0.000, 0.000) (multiplicity 2)
Ho (0.037, 0.193, 0.500) (multiplicity 8)
Tm (0.076, 0.388, 0.000) (multiplicity 8)



Here is AlGa2WI after structural relaxation from the Alexandria database. Energies are from PBE-GGA.

Properties
E	-18.88	eV/cell
ΔE_f (raw)	1.085	eV/atom
mass density	6.37	g/cm³

Unit cell a=4.937 b=4.937 c=5.101 alpha=90.00 beta=90.00 gamma=90.00
Space group P4/mmm (No. 123)
Asymmetric unit:
Al (0.000, 0.000, 0.000) (multiplicity 1)
Ga (0.000, 0.500, 0.000) (multiplicity 2)
W (0.000, 0.000, 0.500) (multiplicity 1)
I (0.500, 0.500, 0.500) (multiplicity 1)



Here is Rb2MnVGe after structural relaxation from the Alexandria database. Energies are from PBE-GGA.

Properties
E	-17.77	eV/cell
mass density	3.13	g/cm³

Unit cell a=6.795 b=6.795 c=4.010 alpha=90.00 beta=90.00 gamma=90.00
Space group P4/mmm (No. 123)
Asymmetric unit:
Rb (0.000, 0.500, 0.000) (multiplicity 2)
Mn (0.000, 0.000, 0.500) (multiplicity 1)
V (0.000, 0.000, 0.000) (multiplicity 1)
Ge (0.500, 0.500, 0.500) (multiplicity 1)



Here is BaNaN2O after structural relaxation from the Alexandria database. Energies are from PBE-GGA.

Properties
E	-21.80	eV/cell
ΔE_f (raw)	0.609	eV/atom
mass density	3.84	g/cm³

Unit cell a=4.468 b=4.468 c=4.423 alpha=90.00 beta=90.00 gamma=90.00
Space group P4/mmm (No. 123)
Asymmetric unit:
Ba (0.000, 0.000, 0.000) (multiplicity 1)
Na (0.500, 0.500, 0.500) (multiplicity 1)
N (0.000, 0.500, 0.500) (multiplicity 2)
O (0.500, 0.500, 0.000) (multiplicity 1)



Here is Mg3Sn2Pd after structural relaxation from the Alexandria database. Energies are from PBE-GGA.

Properties
E	-77.43	eV/cell
mass density	5.23	g/cm³

Unit cell a=14.152 b=5.668 c=6.594 alpha=90.00 beta=90.00 gamma=90.00
Space group Cmcm (No. 63)
Asymmetric unit:
Mg (0.000, 0.202, 0.250) (multiplicity 4)
Mg (0.180, 0.047, 0.750) (multiplicity 8)
Sn (0.140, 0.500, 0.000) (multiplicity 8)
Pd (0.000, 0.279, 0.750) (multiplicity 4)



Here is MoN after structural relaxation from the Alexandria database. Energies are from PBE-GGA.

Properties
E	-39.17	eV/cell
ΔE_f (raw)	-0.215	eV/atom
mass density	8.81	g/cm³

Unit cell a=3.344 b=2.905 c=4.280 alpha=90.00 beta=94.36 gamma=90.00
Space group P2_1/m (No. 11)
Asymmetric unit:
Mo (0.177, 0.250, 0.220) (multiplicity 2)
N (0.295, 0.250, 0.737) (multiplicity 2)



Here is MnSe2Cl after structural relaxation from the Alexandria database. Energies are from PBE-GGA.

Properties
E	-19.85	eV/cell
ΔE_f (raw)	-0.467	eV/atom
offset from the most stable computed form	0	meV/atom
mass density	4.46	g/cm³

Unit cell a=4.981 b=3.792 c=5.070 alpha=90.00 beta=104.91 gamma=90.00
Space group P2/m (No. 10)
Asymmetric unit:
Mn (0.000, 0.000, 0.000) (multiplicity 1)
Se (0.152, 0.500, 0.358) (multiplicity 2)
Cl (0.500, 0.000, 0.000) (multiplicity 1)



Here is Dy6TmTl after structural relaxation from the Alexandria database. Energies are from PBE-GGA.

Properties
E	-35.06	eV/cell
mass density	9.35	g/cm³

Unit cell a=4.891 b=4.891 c=10.006 alpha=90.00 beta=90.00 gamma=90.00
Space group P4/mmm (No. 123)
Asymmetric unit:
Dy (0.000, 0.000, 0.000) (multiplicity 1)
Dy (0.000, 0.000, 0.500) (multiplicity 1)
Dy (0.000, 0.500, 0.247) (multiplicity 4)
Tm (0.500, 0.500, 0.500) (multiplicity 1)
Tl (0.500, 0.500, 0.000) (multiplicity 1)



Here is LaIn2Pd8 after structural relaxation from the Alexandria database. Energies are from PBE-GGA.

Properties
E	-115.40	eV/cell
mass density	10.42	g/cm³

Unit cell a=14.704 b=4.201 c=6.609 alpha=90.00 beta=107.78 gamma=90.00
Space group C2/m (No. 12)
Asymmetric unit:
La (0.000, 0.000, 0.000) (multiplicity 2)
In (0.220, 0.500, 0.660) (multiplicity 4)
Pd (0.041, 0.500, 0.719) (multiplicity 4)
Pd (0.095, 0.000, 0.470) (multiplicity 4)
Pd (0.146, 0.500, 0.210) (multiplicity 4)
Pd (0.182, 0.000, 0.917) (multiplicity 4)



Here is FeSb2Ir after structural relaxation from the Alexandria database. Energies are from PBE-GGA.

Properties
E	-25.00	eV/cell
ΔE_f (raw)	0.142	eV/atom
offset from the most stable computed form	245	meV/atom
mass density	9.86	g/cm³

Unit cell a=3.282 b=3.282 c=7.689 alpha=90.00 beta=90.00 gamma=90.00
Space group P4mm (No. 99)
Asymmetric unit:
Fe (0.000, 0.000, 0.000) (multiplicity 1)
Sb (0.000, 0.000, 0.375) (multiplicity 1)
Sb (0.500, 0.500, 0.793) (multiplicity 1)
Ir (0.500, 0.500, 0.167) (multiplicity 1)



Here is TcSb8Ir2 after structural relaxation from the Alexandria database. Energies are from PBE-GGA.

Properties
E	-60.29	eV/cell
ΔE_f (raw)	0.071	eV/atom
mass density	8.08	g/cm³

Unit cell a=5.187 b=7.775 c=7.902 alpha=70.05 beta=88.21 gamma=88.08
Space group P-1 (No. 2)
Asymmetric unit:
Tc (0.000, 0.000, 0.000) (multiplicity 1)
Sb (0.238, 0.606, 0.562) (multiplicity 2)
Sb (0.277, 0.168, 0.168) (multiplicity 2)
Sb (0.304, 0.126, 0.708) (multiplicity 2)
Sb (0.307, 0.705, 0.133) (multiplicity 2)
Ir (0.255, 0.367, 0.373) (multiplicity 2)



Here is Na2ZnCuP2 after structural relaxation from the Alexandria database. Energies are from PBE-GGA.

Properties
E	-83.08	eV/cell
mass density	3.62	g/cm³

Unit cell a=5.558 b=13.929 c=5.609 alpha=90.00 beta=90.00 gamma=90.00
Space group Ibam (No. 72)
Asymmetric unit:
Na (0.247, 0.178, 0.000) (multiplicity 8)
Zn (0.000, 0.000, 0.250) (multiplicity 4)
Cu (0.000, 0.500, 0.250) (multiplicity 4)
P (0.240, 0.396, 0.000) (multiplicity 8)



Please write out number 3 again, unchanged.
Here is Rb2MnVGe after structural relaxation from the Alexandria database. Energies are from PBE-GGA.

Properties
E	-17.77	eV/cell
mass density	3.13	g/cm³

Unit cell a=6.795 b=6.795 c=4.010 alpha=90.00 beta=90.00 gamma=90.00
Space group P4/mmm (No. 123)
Asymmetric unit:
Rb (0.000, 0.500, 0.000) (multiplicity 2)
Mn (0.000, 0.000, 0.500) (multiplicity 1)
V (0.000, 0.000, 0.000) (multiplicity 1)
Ge (0.500, 0.500, 0.500) (multiplicity 1)



Number 10 is which compound?
FeSb2Ir